1.
The following is a DFT calculation (meta-GGA SCAN) of a crystal of YNiAg4 relaxed with PBEsol.

Computed properties:
symmetry = F-43m, No. 216
formation enthalpy at 0 K = 0.041 eV per atom

a = 5.343 Å, b = 5.343 Å, c = 5.343 Å
α = 60.00°, β = 60.00°, γ = 60.00°
Fractional coordinates of all 6 atoms:
Ni: 0.750 0.750 0.750
Y: 0.000 0.000 0.000
Ag: 0.873 0.376 0.376
Ag: 0.376 0.376 0.873
Ag: 0.376 0.873 0.376
Ag: 0.376 0.376 0.376

***

2.
The following is a DFT calculation (meta-GGA SCAN) of a crystal of RbH2OF relaxed with PBEsol.

Computed properties:
symmetry = Pnma, No. 62

a = 4.142 Å, b = 7.896 Å, c = 8.321 Å
α = 90.00°, β = 90.00°, γ = 90.00°
Fractional coordinates of all 20 atoms:
H: 0.944 0.965 0.263
H: 0.444 0.535 0.763
H: 0.056 0.035 0.737
H: 0.056 0.535 0.763
H: 0.944 0.465 0.237
H: 0.556 0.465 0.237
H: 0.556 0.965 0.263
H: 0.444 0.035 0.737
O: 0.750 0.499 0.302
O: 0.750 0.999 0.198
O: 0.250 0.501 0.698
O: 0.250 0.001 0.802
F: 0.250 0.403 0.144
F: 0.750 0.597 0.856
F: 0.750 0.097 0.644
F: 0.250 0.903 0.356
Rb: 0.250 0.745 0.041
Rb: 0.250 0.245 0.459
Rb: 0.750 0.255 0.959
Rb: 0.750 0.755 0.541

***

3.
The following is a DFT calculation (meta-GGA SCAN) of a crystal of Cu2NiRu relaxed with PBEsol.

Computed properties:
energy above the most stable polymorph in this dataset = 116 meV/atom
symmetry = Imm2, No. 44
formation enthalpy at 0 K = 0.272 eV per atom

a = 2.587 Å, b = 4.304 Å, c = 4.917 Å
α = 115.95°, β = 105.25°, γ = 90.00°
Site moments in Bohr magnetons follow the coordinates.
Fractional coordinates of all 4 atoms:
Cu: 0.753 0.253 0.506  0.05
Cu: 0.008 0.008 0.016  0.04
Ni: 0.495 0.495 0.991  0.71
Ru: 0.244 0.744 0.487  0.88

***

4.
The following is a DFT calculation (meta-GGA SCAN) of a crystal of Sc2Cu2Ge4O13 relaxed with PBEsol.

Computed properties:
uncorrected formation energy = -2111 meV/atom
symmetry = P2_1/m, No. 11

a = 4.908 Å, b = 8.701 Å, c = 12.316 Å
α = 90.00°, β = 95.69°, γ = 90.00°
Site moments in Bohr magnetons follow the coordinates.
Fractional coordinates of all 42 atoms:
O: 0.287 0.585 0.240  0.06
O: 0.202 0.581 0.996  0.12
O: 0.872 0.084 0.250  0.05
O: 0.128 0.916 0.750  0.05
O: 0.210 0.080 0.497  0.00
O: 0.790 0.580 0.503  0.00
O: 0.644 0.750 0.107  0.01
O: 0.713 0.250 0.570  0.00
O: 0.551 0.750 0.651  0.01
O: 0.713 0.415 0.760  0.06
O: 0.212 0.250 0.675  0.01
O: 0.287 0.915 0.240  0.06
O: 0.356 0.250 0.893  0.01
O: 0.128 0.584 0.750  0.05
O: 0.798 0.419 0.004  0.12
O: 0.566 0.750 0.873  0.01
O: 0.202 0.919 0.996  0.12
O: 0.287 0.750 0.430  0.00
O: 0.790 0.920 0.503  0.00
O: 0.872 0.416 0.250  0.05
O: 0.798 0.081 0.004  0.12
O: 0.210 0.420 0.497  0.00
O: 0.788 0.750 0.325  0.01
O: 0.434 0.250 0.127  0.01
O: 0.449 0.250 0.349  0.01
O: 0.713 0.085 0.760  0.06
Ge: 0.600 0.750 0.512  0.00
Ge: 0.507 0.250 0.767  0.01
Ge: 0.398 0.750 0.993  0.02
Ge: 0.667 0.250 0.247  0.01
Ge: 0.333 0.750 0.753  0.01
Ge: 0.400 0.250 0.488  0.00
Ge: 0.493 0.750 0.233  0.01
Ge: 0.602 0.250 0.007  0.02
Sc: 0.046 0.560 0.372  0.00
Sc: 0.954 0.440 0.628  0.00
Sc: 0.954 0.060 0.628  0.00
Sc: 0.046 0.940 0.372  0.00
Cu: 0.046 0.002 0.122  0.72
Cu: 0.046 0.498 0.122  0.72
Cu: 0.954 0.502 0.878  0.72
Cu: 0.954 0.998 0.878  0.72

***

no.,DFT total energy (eV per atom)
1,-28.206
2,-9.279
3,-20.078
4,-12.408